Record 1
## ZrSc2Pb (PBE-GGA)

Data for a geometry-optimized ZrSc2Pb structure.

Cell lengths 4.573, 4.561, 4.432 Å; angles 90.00, 90.00, 90.00 degrees
Atoms (fractional coordinates):
Pb1 0.000 0.500 0.500
Sc1 0.000 0.000 0.000
Sc2 0.500 0.500 0.000
Zr1 0.500 0.000 0.500

Record 2
## ZrSc2Pb (PBE-GGA)

Data for a geometry-optimized ZrSc2Pb structure.

Cell lengths 5.070, 5.070, 5.070 Å; angles 60.00, 60.00, 60.00 degrees
Atoms (fractional coordinates):
Pb1 0.500 0.500 0.500
Sc1 0.000 0.000 0.000
Sc2 0.750 0.750 0.750
Zr1 0.250 0.250 0.250

Record 3
## ZrSc2Pb (PBE-GGA)

Data for a geometry-optimized ZrSc2Pb structure.

Cell lengths 4.295, 4.295, 11.275 Å; angles 79.02, 79.02, 90.00 degrees
Last column: magnetic moment on the atom in μB.
Atoms (fractional coordinates):
Pb1 0.000 0.000 0.000  0.00
Pb2 0.750 0.250 0.500  0.00
Sc1 0.625 0.125 0.250  0.10
Sc2 0.125 0.625 0.250  0.10
Sc3 0.375 0.375 0.750  0.10
Sc4 0.875 0.875 0.750  0.09
Zr1 0.500 0.500 0.000  0.00
Zr2 0.250 0.750 0.500  0.00

Record 4
## ZrSc2Pb (PBE-GGA)

Data for a geometry-optimized ZrSc2Pb structure.

Cell lengths 4.187, 3.379, 7.490 Å; angles 63.37, 90.00, 90.00 degrees
Last column: magnetic moment on the atom in μB.
Atoms (fractional coordinates):
Pb1 0.500 0.750 0.750  0.00
Sc1 0.000 0.996 0.004  0.09
Sc2 0.000 0.504 0.496  0.09
Zr1 0.500 0.250 0.250  0.17

Record 5
## ZrScPb4 (PBE-GGA)

Data for a geometry-optimized ZrScPb4 structure.

Cell lengths 6.297, 6.297, 6.297 Å; angles 60.00, 60.00, 60.00 degrees
Last column: magnetic moment on the atom in μB.
Atoms (fractional coordinates):
Zr1 0.000 0.000 0.000  0.80
Sc1 0.750 0.750 0.750  0.35
Pb1 0.875 0.375 0.375  -0.01
Pb2 0.375 0.375 0.875  -0.01
Pb3 0.375 0.875 0.375  -0.01
Pb4 0.375 0.375 0.375  -0.01

Record 6
## ZrSc2Pb (PBE-GGA)

Data for a geometry-optimized ZrSc2Pb structure.

Cell lengths 3.283, 3.283, 8.994 Å; angles 90.00, 90.00, 90.00 degrees
Atoms (fractional coordinates):
Pb1 0.500 0.500 0.750
Sc1 0.000 0.000 0.005
Sc2 0.000 0.000 0.495
Zr1 0.500 0.500 0.250

Record 7
## ZrSc2Pb (PBE-GGA)

Data for a geometry-optimized ZrSc2Pb structure.

Cell lengths 5.755, 5.755, 5.755 Å; angles 135.12, 135.12, 65.34 degrees
Atoms (fractional coordinates):
Pb1 0.750 0.250 0.500
Sc1 0.000 0.000 0.000
Sc2 0.500 0.500 0.000
Zr1 0.250 0.750 0.500

Record 8
## ZrSc3Pb (PBE-GGA)

Data for a geometry-optimized ZrSc3Pb structure.

Cell lengths 5.201, 5.201, 5.201 Å; angles 90.00, 90.00, 90.00 degrees
Atoms (fractional coordinates):
Pb1 0.500 0.500 0.500
Sc1 0.000 0.500 0.000
Sc2 0.000 0.000 0.500
Sc3 0.500 0.000 0.000
Zr1 0.000 0.000 0.000

Record 9
## ZrSc2Pb (PBE-GGA)

Data for a geometry-optimized ZrSc2Pb structure.

Cell lengths 3.883, 3.883, 6.303 Å; angles 90.00, 90.00, 90.00 degrees
Atoms (fractional coordinates):
Pb1 0.500 0.500 0.748
Sc1 0.000 0.000 0.995
Sc2 0.500 0.500 0.262
Zr1 0.000 0.000 0.495

Record 10
## Zr4ScPb2 (PBE-GGA)

Data for a geometry-optimized Zr4ScPb2 structure.

Cell lengths 4.066, 3.399, 13.210 Å; angles 112.48, 98.77, 90.08 degrees
Atoms (fractional coordinates):
Zr1 0.144 0.435 0.288
Zr2 0.856 0.565 0.712
Zr3 0.285 0.856 0.571
Zr4 0.715 0.144 0.429
Sc1 0.000 0.000 0.000
Pb1 0.574 0.726 0.148
Pb2 0.426 0.274 0.852

Record 11
## ZrSc2Pb (PBE-GGA)

Data for a geometry-optimized ZrSc2Pb structure.

Cell lengths 10.455, 10.455, 10.455 Å; angles 18.36, 18.36, 18.36 degrees
Last column: magnetic moment on the atom in μB.
Atoms (fractional coordinates):
Pb1 0.750 0.750 0.750  -0.01
Sc1 0.000 0.000 0.000  0.28
Sc2 0.249 0.249 0.249  0.08
Zr1 0.501 0.501 0.501  0.00

Record 12
## ZrSc2Pb (PBE-GGA)

Data for a geometry-optimized ZrSc2Pb structure.

Cell lengths 5.666, 5.666, 5.486 Å; angles 75.45, 75.45, 33.92 degrees
Atoms (fractional coordinates):
Pb1 0.750 0.750 0.750
Sc1 0.003 0.003 0.999
Sc2 0.497 0.497 0.501
Zr1 0.250 0.250 0.250

Record 13
## PbSe2 (PBE-GGA)

Data for a geometry-optimized PbSe2 structure.

Energy relative to the elements, uncorrected in eV/atom: -0.30

Cell lengths 5.567, 5.567, 8.872 Å; angles 72.52, 72.52, 48.04 degrees
Atoms (fractional coordinates):
Pb1 0.015 0.015 0.899
Pb2 0.596 0.596 0.379
Se1 0.306 0.306 0.274
Se2 0.682 0.682 0.668
Se3 0.929 0.929 0.610
Se4 0.306 0.306 0.004

Record 14
## PbSe (PBE-GGA)

Data for a geometry-optimized PbSe structure.

Energy relative to the elements, uncorrected in eV/atom: -0.46

Cell lengths 12.665, 3.968, 7.319 Å; angles 90.00, 90.00, 90.00 degrees
Atoms (fractional coordinates):
Pb1 0.833 0.963 0.334
Pb2 0.667 0.037 0.834
Pb3 0.167 0.963 0.334
Pb4 0.333 0.037 0.834
Pb5 0.000 0.929 0.834
Pb6 0.500 0.071 0.334
Se1 0.833 0.501 0.665
Se2 0.667 0.499 0.165
Se3 0.167 0.501 0.665
Se4 0.333 0.499 0.165
Se5 0.000 0.507 0.171
Se6 0.500 0.493 0.671

Record 15
## Pb4Se3 (PBE-GGA)

Data for a geometry-optimized Pb4Se3 structure.

Energy relative to the elements, uncorrected in eV/atom: 0.07

Cell lengths 5.870, 5.870, 6.469 Å; angles 90.00, 90.00, 120.00 degrees
Atoms (fractional coordinates):
Pb1 0.000 0.000 0.253
Pb2 0.000 0.000 0.747
Pb3 0.667 0.333 0.500
Pb4 0.333 0.667 0.500
Se1 0.000 0.500 0.000
Se2 0.500 0.500 0.000
Se3 0.500 0.000 0.000

Record 16
## PbSe (PBE-GGA)

Data for a geometry-optimized PbSe structure.

Energy relative to the elements, uncorrected in eV/atom: -0.40

Cell lengths 12.483, 12.483, 4.142 Å; angles 90.00, 90.00, 90.00 degrees
Atoms (fractional coordinates):
Pb1 0.391 0.268 0.000
Pb2 0.609 0.732 0.000
Pb3 0.732 0.391 0.000
Pb4 0.268 0.609 0.000
Pb5 0.891 0.768 0.500
Pb6 0.109 0.232 0.500
Pb7 0.232 0.891 0.500
Pb8 0.768 0.109 0.500
Se1 0.371 0.829 0.000
Se2 0.629 0.171 0.000
Se3 0.171 0.371 0.000
Se4 0.829 0.629 0.000
Se5 0.871 0.329 0.500
Se6 0.129 0.671 0.500
Se7 0.671 0.871 0.500
Se8 0.329 0.129 0.500

Record 17
## PbSe2 (PBE-GGA)

Data for a geometry-optimized PbSe2 structure.

Energy relative to the elements, uncorrected in eV/atom: -0.25

Cell lengths 5.589, 5.589, 8.307 Å; angles 81.62, 81.62, 48.97 degrees
Atoms (fractional coordinates):
Pb1 0.985 0.985 0.034
Pb2 0.322 0.322 0.654
Se1 0.682 0.682 0.393
Se2 0.614 0.614 0.684
Se3 0.921 0.921 0.392
Se4 0.310 0.310 0.010

Record 18
## PbSe2 (PBE-GGA)

Data for a geometry-optimized PbSe2 structure.

Energy relative to the elements, uncorrected in eV/atom: -0.33

Cell lengths 6.053, 6.053, 6.053 Å; angles 115.17, 115.17, 98.59 degrees
Atoms (fractional coordinates):
Pb1 0.250 0.250 0.000
Pb2 0.750 0.750 0.000
Se1 0.631 0.131 0.763
Se2 0.369 0.869 0.237
Se3 0.131 0.369 0.500
Se4 0.869 0.631 0.500

Record 19
## PbSe (PBE-GGA)

Data for a geometry-optimized PbSe structure.

Energy relative to the elements, uncorrected in eV/atom: -0.33

Cell lengths 3.778, 5.361, 5.429 Å; angles 90.00, 90.00, 90.00 degrees
Atoms (fractional coordinates):
Pb1 0.000 0.000 0.898
Pb2 0.000 0.500 0.436
Se1 0.500 0.000 0.445
Se2 0.500 0.500 0.889

Record 20
## PbSe (PBE-GGA)

Data for a geometry-optimized PbSe structure.

Energy relative to the elements, uncorrected in eV/atom: -0.25

Cell lengths 6.730, 6.730, 6.730 Å; angles 142.42, 142.42, 54.20 degrees
Atoms (fractional coordinates):
Pb1 0.000 0.000 0.000
Pb2 0.250 0.750 0.500
Se1 0.500 0.500 0.000
Se2 0.750 0.250 0.500

Record 21
## PbSe (PBE-GGA)

Data for a geometry-optimized PbSe structure.

Energy relative to the elements, uncorrected in eV/atom: -0.37

Cell lengths 8.392, 8.392, 8.392 Å; angles 90.00, 90.00, 90.00 degrees
Atoms (fractional coordinates):
Pb1 0.250 0.500 0.000
Pb2 0.750 0.500 0.000
Pb3 0.500 0.000 0.250
Pb4 0.500 0.000 0.750
Pb5 0.000 0.250 0.500
Pb6 0.000 0.750 0.500
Se1 0.250 0.000 0.500
Se2 0.750 0.000 0.500
Se3 0.000 0.500 0.250
Se4 0.000 0.500 0.750
Se5 0.500 0.250 0.000
Se6 0.500 0.750 0.000

Record 22
## Pb3Se4 (PBE-GGA)

Data for a geometry-optimized Pb3Se4 structure.

Energy relative to the elements, uncorrected in eV/atom: -0.37

Cell lengths 12.147, 12.147, 12.147 Å; angles 159.63, 159.63, 28.96 degrees
Atoms (fractional coordinates):
Pb1 0.000 0.000 0.000
Pb2 0.686 0.686 0.000
Pb3 0.314 0.314 0.000
Se1 0.808 0.808 0.000
Se2 0.192 0.192 0.000
Se3 0.553 0.553 0.000
Se4 0.447 0.447 0.000

Record 23
## Pb4Se3 (PBE-GGA)

Data for a geometry-optimized Pb4Se3 structure.

Energy relative to the elements, uncorrected in eV/atom: -0.26

Cell lengths 12.368, 12.368, 12.368 Å; angles 160.38, 160.38, 27.88 degrees
Atoms (fractional coordinates):
Pb1 0.822 0.822 0.000
Pb2 0.178 0.178 0.000
Pb3 0.564 0.564 0.000
Pb4 0.436 0.436 0.000
Se1 0.000 0.000 0.000
Se2 0.700 0.700 0.000
Se3 0.300 0.300 0.000

Record 24
## PbSe (PBE-GGA)

Data for a geometry-optimized PbSe structure.

Energy relative to the elements, uncorrected in eV/atom: -0.42

Cell lengths 12.674, 12.673, 4.071 Å; angles 90.00, 90.00, 120.00 degrees
Atoms (fractional coordinates):
Pb1 0.131 0.483 0.250
Pb2 0.648 0.131 0.750
Pb3 0.517 0.648 0.250
Pb4 0.869 0.517 0.750
Pb5 0.352 0.869 0.250
Pb6 0.483 0.352 0.750
Se1 0.859 0.352 0.250
Se2 0.507 0.859 0.750
Se3 0.648 0.507 0.250
Se4 0.141 0.648 0.750
Se5 0.493 0.141 0.250
Se6 0.352 0.493 0.750

Record 25
## PbSe2 (PBE-GGA)

Data for a geometry-optimized PbSe2 structure.

Energy relative to the elements, uncorrected in eV/atom: -0.26

Cell lengths 6.047, 7.503, 7.853 Å; angles 90.00, 90.00, 90.00 degrees
Atoms (fractional coordinates):
Pb1 0.250 0.778 0.479
Pb2 0.750 0.722 0.979
Pb3 0.250 0.278 0.021
Pb4 0.750 0.222 0.521
Se1 0.250 0.941 0.820
Se2 0.750 0.559 0.320
Se3 0.250 0.441 0.680
Se4 0.750 0.059 0.180
Se5 0.250 0.215 0.460
Se6 0.750 0.285 0.960
Se7 0.250 0.715 0.040
Se8 0.750 0.785 0.540

Record 26
## Pb7Se6 (PBE-GGA)

Data for a geometry-optimized Pb7Se6 structure.

Energy relative to the elements, uncorrected in eV/atom: -0.07

Cell lengths 10.252, 10.252, 10.252 Å; angles 41.87, 41.87, 41.87 degrees
Atoms (fractional coordinates):
Pb1 0.921 0.422 0.422
Pb2 0.422 0.422 0.921
Pb3 0.422 0.921 0.422
Pb4 0.079 0.578 0.578
Pb5 0.578 0.079 0.578
Pb6 0.578 0.578 0.079
Pb7 0.500 0.500 0.500
Se1 0.958 0.958 0.958
Se2 0.042 0.042 0.042
Se3 0.814 0.814 0.814
Se4 0.186 0.186 0.186
Se5 0.672 0.672 0.672
Se6 0.328 0.328 0.328

no.,uncorrected energy (eV per formula unit)
1,-25.8
2,-25.1
3,-24.3
4,-25.7
5,-27.6
6,-25.6
7,-25.7
8,-28.1
9,-25.6
10,-48.9
11,-25.1
12,-25.5
13,-11.6
14,-8.1
15,-24.8
16,-8.0
17,-11.4
18,-11.7
19,-7.9
20,-7.7
21,-7.9
22,-27.7
23,-27.1
24,-8.0
25,-11.5
26,-47.8